DFT (PBE) results for Ca3Cd2Cu7 after structural relaxation.

Structure (extended XYZ):
```
12
Lattice="2.692 1.554 8.699 -2.692 1.554 8.699 0.000 -3.108 8.699" Properties=species:S:1:pos:R:3 pbc="T T T"
Ca 0.000 0.000 0.000
Ca 0.000 0.000 3.682
Ca 0.000 0.000 22.415
Cd 0.000 0.000 8.655
Cd 0.000 0.000 17.442
Cu -1.331 -0.768 10.982
Cu 0.000 -1.537 15.115
Cu -1.331 0.768 15.115
Cu 0.000 0.000 13.049
Cu 1.331 -0.768 10.982
Cu 0.000 1.537 10.982
Cu 1.331 0.768 15.115
```

Properties
Space-group type: R-3m
Calculated volume (A^3/atom): 18.2
ΔE_f (eV per atom): -0.114
Magnetization (Bohr magnetons per cell): 0.00